[1]
A plane-wave DFT calculation with GGA-PBE was carried out for Nd2DyMg after structural relaxation.

Cell lengths 3.5083, 3.5083, 12.6705 Å; angles 82.04, 82.04, 60.00 degrees
Fractional positions:
Mg 0.0000 0.0000 0.0000
Nd 0.0893 0.0893 0.7321
Nd 0.9107 0.9107 0.2679
Dy 0.5000 0.5000 0.5000

Properties
The value obtained for the excess energy over the best structure of this formula in the dataset is 214 meV per atom. The calculation puts the formation energy from the elements at 70 kJ/mol of formula units.

***

[2]
A plane-wave DFT calculation with GGA-PBE was carried out for Nd5Dy2Mg after structural relaxation.

Cell lengths 7.2113, 7.2112, 7.1545 Å; angles 120.25, 120.25, 90.02 degrees
Fractional positions:
Nd 0.7222 0.2221 0.9443
Nd 0.2221 0.2221 0.9443
Nd 0.7222 0.7222 0.9443
Nd 0.2221 0.7222 0.9442
Nd 0.7221 0.7221 0.4441
Dy 0.2221 0.7221 0.4442
Dy 0.7221 0.2221 0.4442
Mg 0.2222 0.2222 0.4444

Properties
The value obtained for the excess energy over the best structure of this formula in the dataset is 5 meV per atom. The calculation puts the formation energy from the elements at 5 kJ/mol of formula units.

***

[3]
A plane-wave DFT calculation with GGA-PBE was carried out for Nd15Dy2Mg2 after structural relaxation.

Cell lengths 8.8262, 8.8262, 8.8262 Å; angles 79.91, 79.91, 79.91 degrees
Fractional positions:
Nd 0.0000 0.5000 0.0000
Nd 0.0000 0.0000 0.5000
Nd 0.5000 0.0000 0.0000
Nd 0.2963 0.0000 0.7037
Nd 0.7037 0.2963 0.0000
Nd 0.0000 0.7037 0.2963
Nd 0.2963 0.7037 0.0000
Nd 0.0000 0.2963 0.7037
Nd 0.7037 0.0000 0.2963
Nd 0.3703 0.8423 0.3703
Nd 0.3703 0.3703 0.8423
Nd 0.8423 0.3703 0.3703
Nd 0.6297 0.1577 0.6297
Nd 0.6297 0.6297 0.1577
Nd 0.1577 0.6297 0.6297
Dy 0.6861 0.6861 0.6861
Dy 0.3139 0.3139 0.3139
Mg 0.9072 0.9072 0.9072
Mg 0.0928 0.0928 0.0928

Properties
The calculation puts the formation energy from the elements at 409 kJ/mol of formula units.

***

[4]
A plane-wave DFT calculation with GGA-PBE was carried out for Nd3Dy4Mg after structural relaxation.

Cell lengths 6.2598, 7.2012, 11.3849 Å; angles 90.00, 90.00, 90.00 degrees
Fractional positions:
Nd 0.4956 0.6300 0.0000
Nd 0.1493 0.6222 0.2422
Nd 0.6493 0.3778 0.2578
Nd 0.9956 0.3700 0.5000
Nd 0.6493 0.3778 0.7422
Nd 0.1493 0.6222 0.7578
Dy 0.9676 0.8849 0.0000
Dy 0.4829 0.1251 0.0000
Dy 0.1434 0.1241 0.2438
Dy 0.6434 0.8759 0.2562
Dy 0.9829 0.8749 0.5000
Dy 0.4676 0.1151 0.5000
Dy 0.6434 0.8759 0.7438
Dy 0.1434 0.1241 0.7562
Mg 0.9838 0.3700 0.0000
Mg 0.4838 0.6300 0.5000

Properties
The value obtained for the excess energy over the best structure of this formula in the dataset is 0 meV per atom. The calculation puts the formation energy from the elements at 2 kJ/mol of formula units.

***

Which total energy belongs to each record? In order, -3.75; -4.32; -4.19; -4.29 eV per atom.